1.
Density functional theory data (PBE) for PmHfSb2 after structural relaxation.

Properties
Its total energy is -52.15 eV for the cell shown. Its offset from the most stable computed form is 0.00 eV/f.u. As for the raw formation energy: -0.78 eV/atom.

Cell lengths 7.405, 4.269, 7.473 Å; angles 90.00, 109.19, 90.00 degrees
Space group C2/m (No. 12)
Asymmetric unit:
Pm 0.000 0.000 0.000 (multiplicity 2)
Hf 0.000 0.500 0.500 (multiplicity 2)
Sb 0.242 0.000 0.725 (multiplicity 4)

2.
Density functional theory data (PBE) for AcPF after structural relaxation.

Properties
Its total energy is -33.19 eV for the cell shown. Its offset from the most stable computed form is 2.25 eV/f.u. As for the raw formation energy: -1.74 eV/atom.

Cell lengths 3.608, 3.608, 10.351 Å; angles 90.00, 90.00, 90.00 degrees
Space group I4mm (No. 107)
Asymmetric unit:
Ac 0.000 0.000 0.000 (multiplicity 2)
P 0.000 0.000 0.305 (multiplicity 2)
F 0.000 0.000 0.588 (multiplicity 2)

3.
Density functional theory data (PBE) for La2VZnPb after structural relaxation.

Properties
Its total energy is -20.57 eV for the cell shown. Its offset from the most stable computed form is 0.00 eV/f.u. The calculated formation energy comes out at 3.4 eV per formula unit.

Cell lengths 6.138, 6.138, 5.094 Å; angles 90.00, 90.00, 90.00 degrees
Space group P4/mmm (No. 123)
Asymmetric unit:
La 0.000 0.500 0.000 (multiplicity 2)
V 0.000 0.000 0.500 (multiplicity 1)
Zn 0.500 0.500 0.500 (multiplicity 1)
Pb 0.000 0.000 0.000 (multiplicity 1)

4.
Density functional theory data (PBE) for La6CoPd2 after structural relaxation.

Properties
Its total energy is -101.50 eV for the cell shown. The calculated formation energy comes out at -3.7 eV per formula unit.

Cell lengths 6.872, 7.562, 12.207 Å; angles 90.00, 120.75, 90.00 degrees
Space group P2_1/c (No. 14)
Asymmetric unit:
La 0.105 0.040 0.251 (multiplicity 4)
La 0.237 0.682 0.069 (multiplicity 4)
La 0.380 0.180 0.063 (multiplicity 4)
Co 0.000 0.000 0.000 (multiplicity 2)
Pd 0.325 0.112 0.768 (multiplicity 4)